4
Lattice="-0.0507 -3.2276 -0.7844 2.9990 1.0799 -4.5529 3.9715 -0.9577 3.7682" Properties=species:S:1:pos:R:3 comment="CdAsPb2 | the Alexandria database | GGA-PBEsol | relaxed" crystal_system=monoclinic total_energy_ev_per_atom=-3.44 total_magnetization_mub_per_atom=0.000 space_group=C2/m pbc="T T T"
Pb 1.4995 0.5400 -2.2764
As 3.4599 -1.5527 -0.7846
Pb 1.9857 -0.4788 1.8841
Cd -0.0254 -1.6138 -0.3922